[1]
This record from Alexandria describes crystalline LaMgTa at its relaxed geometry. The functional is PBE.

Results
As for the symmetry: P2_1/m (11). As for the formation energy: 0.26 eV per atom. The calculation puts the offset from the most stable computed form at 0.139 eV per atom.

a b c (Å): 3.187 4.807 10.026
angles (deg): 90.00 98.22 90.00
Atoms (fractional coordinates):
1 La 0.104 0.250 0.232
2 La 0.896 0.750 0.768
3 Mg 0.299 0.250 0.578
4 Mg 0.701 0.750 0.422
5 Ta 0.405 0.750 0.056
6 Ta 0.595 0.250 0.944

---

[2]
This record from Alexandria describes crystalline LaMg2Ta at its relaxed geometry. The functional is PBE.

Results
As for the symmetry: P4mm (99). As for the formation energy: 0.25 eV per atom. The calculation puts the offset from the most stable computed form at 0.010 eV per atom.

a b c (Å): 3.108 3.108 9.835
angles (deg): 90.00 90.00 90.00
Atoms (fractional coordinates):
1 La 0.000 0.000 0.000
2 Mg 0.000 0.000 0.529
3 Mg 0.500 0.500 0.293
4 Ta 0.500 0.500 0.745

---

Q: Among the records above, which one has the lowest offset from the most stable computed form?
A: LaMg2Ta